[1]
# ZnNi2Os PBE optimized geometry
data_ZnNi2Os
_symmetry_space_group_name_H-M 'P 4/m m m'
_symmetry_Int_Tables_number 123
_symmetry_space_group_name_Hall '-P 4 2'
_cell_length_a 3.718
_cell_length_b 3.718
_cell_length_c 3.635
_cell_angle_alpha 90.00
_cell_angle_beta 90.00
_cell_angle_gamma 90.00
loop_
_atom_site_label
_atom_site_type_symbol
_atom_site_fract_x
_atom_site_fract_y
_atom_site_fract_z
Zn1 Zn 0.000 0.000 0.000
Ni1 Ni 0.000 0.500 0.500
Os1 Os 0.500 0.500 0.000
# Spin magnetization (μB/f.u.): 1.887
# Calculated formation energy (eV/atom): 0.2028



[2]
# ZnNi2Os PBE optimized geometry
data_ZnNi2Os
_symmetry_space_group_name_H-M 'P 4 m m'
_symmetry_Int_Tables_number 99
_symmetry_space_group_name_Hall 'P 4 -2'
_cell_length_a 2.664
_cell_length_b 2.664
_cell_length_c 7.067
_cell_angle_alpha 90.00
_cell_angle_beta 90.00
_cell_angle_gamma 90.00
loop_
_atom_site_label
_atom_site_type_symbol
_atom_site_fract_x
_atom_site_fract_y
_atom_site_fract_z
Zn1 Zn 0.000 0.000 0.000
Ni1 Ni 0.000 0.000 0.474
Ni2 Ni 0.500 0.500 0.242
Os1 Os 0.500 0.500 0.714
# Spin magnetization (μB/f.u.): 0.009
# Calculated formation energy (eV/atom): 0.1069



[3]
# Zn3NiOs PBE optimized geometry
data_Zn3NiOs
_symmetry_space_group_name_H-M 'P m -3 m'
_symmetry_Int_Tables_number 221
_symmetry_space_group_name_Hall '-P 4 2 3'
_cell_length_a 4.347
_cell_length_b 4.347
_cell_length_c 4.347
_cell_angle_alpha 90.00
_cell_angle_beta 90.00
_cell_angle_gamma 90.00
loop_
_atom_site_label
_atom_site_type_symbol
_atom_site_fract_x
_atom_site_fract_y
_atom_site_fract_z
Zn1 Zn 0.000 0.000 0.500
Ni1 Ni 0.000 0.000 0.000
Os1 Os 0.500 0.500 0.500
# Spin magnetization (μB/f.u.): 1.263
# Calculated formation energy (eV/atom): 0.9740



[4]
# Zn4NiOs PBE optimized geometry
data_Zn4NiOs
_symmetry_space_group_name_H-M 'F -4 3 m'
_symmetry_Int_Tables_number 216
_symmetry_space_group_name_Hall 'F -4 2 3'
_cell_length_a 6.869
_cell_length_b 6.869
_cell_length_c 6.869
_cell_angle_alpha 90.00
_cell_angle_beta 90.00
_cell_angle_gamma 90.00
loop_
_atom_site_label
_atom_site_type_symbol
_atom_site_fract_x
_atom_site_fract_y
_atom_site_fract_z
Zn1 Zn 0.125 0.125 0.125
Ni1 Ni 0.250 0.250 0.750
Os1 Os 0.000 0.000 0.500
# Spin magnetization (μB/f.u.): 0.001
# Calculated formation energy (eV/atom): 0.2627



[5]
# ZnNi2Os PBE optimized geometry
data_ZnNi2Os
_symmetry_space_group_name_H-M 'I -4 m 2'
_symmetry_Int_Tables_number 119
_symmetry_space_group_name_Hall 'I -4 -2'
_cell_length_a 3.687
_cell_length_b 3.687
_cell_length_c 7.357
_cell_angle_alpha 90.00
_cell_angle_beta 90.00
_cell_angle_gamma 90.00
loop_
_atom_site_label
_atom_site_type_symbol
_atom_site_fract_x
_atom_site_fract_y
_atom_site_fract_z
Zn1 Zn 0.000 0.000 0.000
Ni1 Ni 0.000 0.000 0.500
Ni2 Ni 0.000 0.500 0.750
Os1 Os 0.000 0.500 0.250
# Spin magnetization (μB/f.u.): 1.582
# Calculated formation energy (eV/atom): 0.1766



[6]
# ZnNiOs4 PBE optimized geometry
data_ZnNiOs4
_symmetry_space_group_name_H-M 'F -4 3 m'
_symmetry_Int_Tables_number 216
_symmetry_space_group_name_Hall 'F -4 2 3'
_cell_length_a 7.230
_cell_length_b 7.230
_cell_length_c 7.230
_cell_angle_alpha 90.00
_cell_angle_beta 90.00
_cell_angle_gamma 90.00
loop_
_atom_site_label
_atom_site_type_symbol
_atom_site_fract_x
_atom_site_fract_y
_atom_site_fract_z
Zn1 Zn 0.000 0.000 0.000
Ni1 Ni 0.250 0.250 0.750
Os1 Os 0.125 0.125 0.375
# Spin magnetization (μB/f.u.): 0.000
# Calculated formation energy (eV/atom): 0.8463



[7]
# ZnNi2Os PBE optimized geometry
data_ZnNi2Os
_symmetry_space_group_name_H-M 'P 4/m m m'
_symmetry_Int_Tables_number 123
_symmetry_space_group_name_Hall '-P 4 2'
_cell_length_a 4.370
_cell_length_b 4.370
_cell_length_c 2.626
_cell_angle_alpha 90.00
_cell_angle_beta 90.00
_cell_angle_gamma 90.00
loop_
_atom_site_label
_atom_site_type_symbol
_atom_site_fract_x
_atom_site_fract_y
_atom_site_fract_z
Zn1 Zn 0.000 0.000 0.000
Ni1 Ni 0.000 0.500 0.500
Os1 Os 0.500 0.500 0.000
# Spin magnetization (μB/f.u.): 0.000
# Calculated formation energy (eV/atom): 0.0813



[8]
# ZnNi2Os PBE optimized geometry
data_ZnNi2Os
_symmetry_space_group_name_H-M 'C m m 2'
_symmetry_Int_Tables_number 35
_symmetry_space_group_name_Hall 'C 2 -2'
_cell_length_a 2.732
_cell_length_b 4.428
_cell_length_c 8.511
_cell_angle_alpha 90.00
_cell_angle_beta 90.00
_cell_angle_gamma 90.00
loop_
_atom_site_label
_atom_site_type_symbol
_atom_site_fract_x
_atom_site_fract_y
_atom_site_fract_z
Zn1 Zn 0.000 0.000 0.000
Ni1 Ni 0.000 0.000 0.523
Ni2 Ni 0.000 0.500 0.760
Os1 Os 0.000 0.500 0.273
# Spin magnetization (μB/f.u.): 0.877
# Calculated formation energy (eV/atom): 0.2167



Question: calculated formation energy of number 2 (ZnNi2Os)?
Answer: 0.1069 eV/atom



Question: Which formula does entry 1 have?
Answer: ZnNi2Os



Question: spin magnetization of number 8 (ZnNi2Os)?
Answer: 0.877 μB/f.u.



Please write out number 4 again, unchanged.
# Zn4NiOs PBE optimized geometry
data_Zn4NiOs
_symmetry_space_group_name_H-M 'F -4 3 m'
_symmetry_Int_Tables_number 216
_symmetry_space_group_name_Hall 'F -4 2 3'
_cell_length_a 6.869
_cell_length_b 6.869
_cell_length_c 6.869
_cell_angle_alpha 90.00
_cell_angle_beta 90.00
_cell_angle_gamma 90.00
loop_
_atom_site_label
_atom_site_type_symbol
_atom_site_fract_x
_atom_site_fract_y
_atom_site_fract_z
Zn1 Zn 0.125 0.125 0.125
Ni1 Ni 0.250 0.250 0.750
Os1 Os 0.000 0.000 0.500
# Spin magnetization (μB/f.u.): 0.001
# Calculated formation energy (eV/atom): 0.2627